This record from Alexandria describes crystalline Li2CaCr at its relaxed geometry. The functional is PBE-GGA.

## Properties
Crystal system: tetragonal
Energy (eV per atom): -3.18
Total moment (μB per atom): 0.096
ρ (g/cm³): 2.2
Offset from the most stable computed form (eV/atom): 0.2757
Space-group type: No. 99
Energy of formation (eV per atom): 0.678

Cell lengths 2.918, 2.918, 9.191 Å; angles 90.00, 90.00, 90.08 degrees
Site moments in Bohr magnetons follow the coordinates.
Fractional coordinates of all 4 atoms:
Ca (0.000, 0.000, 0.531)  -0.03
Cr (0.500, 0.500, 0.774)  0.44
Li (0.000, 0.000, 0.978)  0.00
Li (0.500, 0.500, 0.217)  0.00